Entry 1:
This record from Alexandria via LeMat-Bulk describes a geometry-optimized Lu2CoTc structure. The functional is PBE.

Cell and atoms, written as CIF:
```
data_Lu2CoTc
_space_group_name_H-M_alt 'F m -3 m'
_space_group_IT_number 225
_space_group_name_Hall '-F 4 2 3'
_cell_length_a 6.639
_cell_length_b 6.639
_cell_length_c 6.639
_cell_angle_alpha 90.00
_cell_angle_beta 90.00
_cell_angle_gamma 90.00
loop_
_atom_site_label
_atom_site_fract_x
_atom_site_fract_y
_atom_site_fract_z
_atom_site_occupancy
Lu1 0.250 0.250 0.250 1
Co1 0.000 0.000 0.000 1
Tc1 0.000 0.000 0.500 1
```

Values from the calculation:
**Magnetization**: 0.8 μB/f.u.
**E above lowest polymorph**: 0.06 eV per formula unit
**DFT total energy**: -6.6968 eV/atom
**Calculated density**: 11.5 g/cm³
**Crystal system**: cubic
**E_form**: -6.6 kJ per mole of atoms
**DOS(E_F)**: 1.6757 states/eV/atom

=====

Entry 2:
This record from Alexandria via LeMat-Bulk describes a geometry-optimized CeBe6Au6 structure. The functional is PBE.

Cell and atoms, written as CIF:
```
data_CeBe6Au6
_space_group_name_H-M_alt 'I m m m'
_space_group_IT_number 71
_space_group_name_Hall '-I 2 2'
_cell_length_a 4.880
_cell_length_b 8.569
_cell_length_c 8.994
_cell_angle_alpha 90.00
_cell_angle_beta 90.00
_cell_angle_gamma 90.00
loop_
_atom_site_label
_atom_site_fract_x
_atom_site_fract_y
_atom_site_fract_z
_atom_site_occupancy
Ce1 0.000 0.000 0.000 1
Be1 0.000 0.256 0.500 1
Be2 0.250 0.250 0.250 1
Au1 0.000 0.000 0.344 1
Au2 0.000 0.334 0.000 1
Au3 0.000 0.500 0.317 1
```

Values from the calculation:
**Magnetization**: 0.3 μB/f.u.
**DFT total energy**: -3.9117 eV/atom
**Calculated density**: 12.2 g/cm³
**Crystal system**: orthorhombic
**E_form**: -21.5 kJ per mole of atoms
**DOS(E_F)**: 0.5481 states/eV/atom

=====

Entry 3:
This record from Alexandria via LeMat-Bulk describes a geometry-optimized Lu2PdPt structure. The functional is PBE.

Cell and atoms, written as CIF:
```
data_Lu2PdPt
_space_group_name_H-M_alt 'F m -3 m'
_space_group_IT_number 225
_space_group_name_Hall '-F 4 2 3'
_cell_length_a 6.856
_cell_length_b 6.856
_cell_length_c 6.856
_cell_angle_alpha 90.00
_cell_angle_beta 90.00
_cell_angle_gamma 90.00
loop_
_atom_site_label
_atom_site_fract_x
_atom_site_fract_y
_atom_site_fract_z
_atom_site_occupancy
Lu1 0.250 0.250 0.250 1
Pd1 0.000 0.000 0.000 1
Pt1 0.000 0.000 0.500 1
```

Values from the calculation:
**Magnetization**: 0.0 μB/f.u.
**E above lowest polymorph**: 0.00 eV per formula unit
**DFT total energy**: -6.2301 eV/atom
**Calculated density**: 13.4 g/cm³
**Crystal system**: cubic
**E_form**: -112.0 kJ per mole of atoms
**DOS(E_F)**: 0.6500 states/eV/atom

=====

Entry 4:
This record from Alexandria via LeMat-Bulk describes a geometry-optimized ReAsWBr2 structure. The functional is PBE.

Cell and atoms, written as CIF:
```
data_ReAsWBr2
_space_group_name_H-M_alt 'P 4/m m m'
_space_group_IT_number 123
_space_group_name_Hall '-P 4 2'
_cell_length_a 5.184
_cell_length_b 5.184
_cell_length_c 4.959
_cell_angle_alpha 90.00
_cell_angle_beta 90.00
_cell_angle_gamma 90.00
loop_
_atom_site_label
_atom_site_fract_x
_atom_site_fract_y
_atom_site_fract_z
_atom_site_occupancy
Re1 0.000 0.000 0.000 1
As1 0.500 0.500 0.000 1
W1 0.500 0.500 0.500 1
Br1 0.000 0.500 0.500 1
```

Values from the calculation:
**Magnetization**: 6.8 μB/f.u.
**E above lowest polymorph**: 0.00 eV per formula unit
**DFT total energy**: -5.0918 eV/atom
**Calculated density**: 7.5 g/cm³
**Formation energy from raw total energies**: 1.587 eV/atom
**Crystal system**: tetragonal
**DOS(E_F)**: 0.8007 states/eV/atom

=====

Entry 5:
This record from Alexandria via LeMat-Bulk describes a geometry-optimized BaBi3W structure. The functional is PBE.

Cell and atoms, written as CIF:
```
data_BaBi3W
_space_group_name_H-M_alt 'P m -3 m'
_space_group_IT_number 221
_space_group_name_Hall '-P 4 2 3'
_cell_length_a 5.548
_cell_length_b 5.548
_cell_length_c 5.548
_cell_angle_alpha 90.00
_cell_angle_beta 90.00
_cell_angle_gamma 90.00
loop_
_atom_site_label
_atom_site_fract_x
_atom_site_fract_y
_atom_site_fract_z
_atom_site_occupancy
Ba1 0.000 0.000 0.000 1
Bi1 0.000 0.500 0.500 1
W1 0.500 0.500 0.500 1
```

Values from the calculation:
**Magnetization**: 0.0 μB/f.u.
**E above lowest polymorph**: 0.00 eV per formula unit
**DFT total energy**: -5.0322 eV/atom
**Calculated density**: 9.2 g/cm³
**Crystal system**: cubic
**E_form**: 26.2 kJ per mole of atoms
**DOS(E_F)**: 0.9869 states/eV/atom

=====

Entry 6:
This record from Alexandria via LeMat-Bulk describes a geometry-optimized Y2Ho6Er3Sc structure. The functional is PBE.

Cell and atoms, written as CIF:
```
data_Y2Ho6Er3Sc
_space_group_name_H-M_alt 'C 1 2/m 1'
_space_group_IT_number 12
_cell_length_a 6.075
_cell_length_b 10.510
_cell_length_c 11.620
_cell_angle_alpha 90.00
_cell_angle_beta 100.00
_cell_angle_gamma 90.00
loop_
_space_group_symop_operation_xyz
'x,y,z'
'-x,-y,-z'
'-x,y,-z'
'x,-y,z'
'x+1/2,y+1/2,z'
'-x+1/2,-y+1/2,-z'
'-x+1/2,y+1/2,-z'
'x+1/2,-y+1/2,z'
loop_
_atom_site_label
_atom_site_fract_x
_atom_site_fract_y
_atom_site_fract_z
_atom_site_occupancy
Y1 0.000 0.167 0.000 1
Ho1 0.248 0.335 0.249 1
Ho2 0.248 0.500 0.751 1
Er1 0.000 0.000 0.500 1
Er2 0.000 0.334 0.500 1
Sc1 0.000 0.500 0.000 1
```

Values from the calculation:
**Magnetization**: 0.0 μB/f.u.
**DFT total energy**: -5.0042 eV/atom
**Calculated density**: 7.8 g/cm³
**Crystal system**: monoclinic
**E_form**: 2.9 kJ per mole of atoms
**DOS(E_F)**: 1.4434 states/eV/atom